! CdTeSe | Alexandria via LeMat-Bulk | GGA-PBE | optimized geometry; values from VASP
! Space group   P1, No. 1
! Raw formation energy   -0.79 eV per formula unit
&SYSTEM
  ibrav = 0, nat = 6, ntyp = 3
/
ATOMIC_SPECIES
Cd 112.41 Cd.upf
Te 127.60 Te.upf
Se 78.96 Se.upf
CELL_PARAMETERS angstrom
4.353 0.000 0.000
-1.291 6.004 0.000
-0.829 -1.814 7.261
ATOMIC_POSITIONS crystal
Cd 0.000 0.000 0.000
Cd 0.468 0.631 0.620
Te 0.422 0.199 0.369
Te 0.853 0.435 0.171
Se 0.061 0.903 0.648
Se 0.490 0.646 0.994

---

! Pm7ZnRh4 | Alexandria via LeMat-Bulk | GGA-PBE | optimized geometry; values from VASP
! E_form   -0.38 eV/atom
! Space group   C2/m, No. 12
&SYSTEM
  ibrav = 0, nat = 12, ntyp = 3
/
ATOMIC_SPECIES
Pm 145.00 Pm.upf
Zn 65.41 Zn.upf
Rh 102.91 Rh.upf
CELL_PARAMETERS angstrom
6.883 -2.769 0.000
6.883 2.769 0.000
-5.598 0.000 8.071
ATOMIC_POSITIONS crystal
Pm 0.000 0.000 0.000
Pm 0.172 0.172 0.621
Pm 0.295 0.295 0.119
Pm 0.420 0.420 0.636
Pm 0.580 0.580 0.364
Pm 0.705 0.705 0.881
Pm 0.828 0.828 0.379
Zn 0.500 0.500 0.000
Rh 0.065 0.065 0.778
Rh 0.205 0.205 0.340
Rh 0.795 0.795 0.660
Rh 0.935 0.935 0.222

---

! Rb2Na9Tl3 | Alexandria via LeMat-Bulk | GGA-PBE | optimized geometry; values from VASP
! E_form   -0.05 eV/atom
! Space group   C2/c, No. 15
&SYSTEM
  ibrav = 0, nat = 28, ntyp = 3
/
ATOMIC_SPECIES
Rb 85.47 Rb.upf
Na 22.99 Na.upf
Tl 204.38 Tl.upf
CELL_PARAMETERS angstrom
8.914 -4.849 0.000
8.914 4.849 0.000
-5.982 0.000 12.257
ATOMIC_POSITIONS crystal
Rb 0.108 0.253 0.245
Rb 0.253 0.108 0.745
Rb 0.747 0.892 0.255
Rb 0.892 0.747 0.755
Na 0.016 0.868 0.077
Na 0.132 0.984 0.423
Na 0.186 0.361 0.557
Na 0.226 0.569 0.249
Na 0.321 0.502 0.976
Na 0.327 0.673 0.750
Na 0.361 0.186 0.057
Na 0.431 0.774 0.251
Na 0.498 0.679 0.524
Na 0.502 0.321 0.476
Na 0.569 0.226 0.749
Na 0.639 0.814 0.943
Na 0.673 0.327 0.250
Na 0.679 0.498 0.024
Na 0.774 0.431 0.751
Na 0.814 0.639 0.443
Na 0.868 0.016 0.577
Na 0.984 0.132 0.923
Tl 0.000 0.500 0.000
Tl 0.152 0.666 0.486
Tl 0.334 0.848 0.014
Tl 0.500 0.000 0.500
Tl 0.666 0.152 0.986
Tl 0.848 0.334 0.514

---

! LiP3 | Alexandria via LeMat-Bulk | GGA-PBE | optimized geometry; values from VASP
! E_form   0.37 eV/atom
! Space group   Fm-3m, No. 225
&SYSTEM
  ibrav = 0, nat = 4, ntyp = 2
/
ATOMIC_SPECIES
Li 6.94 Li.upf
P 30.97 P.upf
CELL_PARAMETERS angstrom
0.000 3.073 3.073
3.073 0.000 3.073
3.073 3.073 0.000
ATOMIC_POSITIONS crystal
Li 0.000 0.000 0.000
P 0.250 0.250 0.250
P 0.500 0.500 0.500
P 0.750 0.750 0.750

---

Number 1: total magnetic moment 0.00 μB/cell, calculated volume 31.6 A^3/atom. Number 2: total magnetic moment 0.00 μB/cell, calculated volume 25.6 A^3/atom. Number 3: total magnetic moment 0.00 μB/cell, calculated volume 37.8 A^3/atom. Number 4: total magnetic moment 0.00 μB/cell, calculated volume 14.5 A^3/atom.